Below is a relaxed structure of SrLa14Er, with properties calculated at the PBE level.

Summary:
E_form in eV per atom: 0.04
Calculated density in Mg/m³: 6.19
V in Å³/cell: 590.19
Spin magnetization in Bohr magnetons per cell: 0.00

Cell and atoms, written as CIF:
```
data_SrLa14Er
_chemical_formula_sum 'Sr1 La14 Er1'
_space_group_name_H-M_alt 'P 4/m m m'
_space_group_IT_number 123
_space_group_name_Hall '-P 4 2'
_cell_length_a 7.4947
_cell_length_b 7.4947
_cell_length_c 10.5070
_cell_angle_alpha 90.00
_cell_angle_beta 90.00
_cell_angle_gamma 90.00
loop_
_atom_site_label
_atom_site_fract_x
_atom_site_fract_y
_atom_site_fract_z
Sr1 0.0000 0.0000 0.0000
La1 0.0000 0.0000 0.5000
La2 0.0000 0.5000 0.0000
La3 0.0000 0.5000 0.5000
La4 0.2599 0.2599 0.2544
La5 0.5000 0.5000 0.5000
Er1 0.5000 0.5000 0.0000
```


Below is a relaxed structure of VBAs2Se, with properties calculated at the PBE level.

Summary:
Calculated density in Mg/m³: 5.81
V in Å³/cell: 83.04
Spin magnetization in Bohr magnetons per cell: 0.10
Formation energy (no corrections) in eV per atom: 0.92
Energy above the most stable polymorph in this dataset in eV/atom: 0.000

Cell and atoms, written as CIF:
```
data_VBAs2Se
_chemical_formula_sum 'V1 B1 As2 Se1'
_space_group_name_H-M_alt 'P 4/m m m'
_space_group_IT_number 123
_space_group_name_Hall '-P 4 2'
_cell_length_a 4.3346
_cell_length_b 4.3346
_cell_length_c 4.4197
_cell_angle_alpha 90.00
_cell_angle_beta 90.00
_cell_angle_gamma 90.00
loop_
_atom_site_label
_atom_site_fract_x
_atom_site_fract_y
_atom_site_fract_z
V1 0.0000 0.0000 0.0000
B1 0.5000 0.5000 0.5000
As1 0.0000 0.5000 0.5000
Se1 0.5000 0.5000 0.0000
```


Below is a relaxed structure of Cs2NiI5, with properties calculated at the PBE level.

Summary:
Calculated density in Mg/m³: 4.18
V in Å³/cell: 761.42
Spin magnetization in Bohr magnetons per cell: 1.93
Formation energy (no corrections) in eV per atom: -0.81

Cell and atoms, written as CIF:
```
data_Cs2NiI5
_chemical_formula_sum 'Cs4 Ni2 I10'
_space_group_name_H-M_alt 'I 4 m m'
_space_group_IT_number 107
_space_group_name_Hall 'I 4 -2'
_cell_length_a 8.3989
_cell_length_b 8.3989
_cell_length_c 10.7940
_cell_angle_alpha 90.00
_cell_angle_beta 90.00
_cell_angle_gamma 90.00
loop_
_atom_site_label
_atom_site_fract_x
_atom_site_fract_y
_atom_site_fract_z
Cs1 0.0000 0.5000 0.0000
Ni1 0.0000 0.0000 0.2819
I1 0.0000 0.0000 0.5289
I2 0.2169 0.2169 0.2481
```


Below is a relaxed structure of NaSr2CrCl, with properties calculated at the PBE level.

Summary:
Calculated density in Mg/m³: 2.64
V in Å³/cell: 179.66
Spin magnetization in Bohr magnetons per cell: 5.61
Formation energy (no corrections) in eV per atom: -0.19

Cell and atoms, written as CIF:
```
data_NaSr2CrCl
_chemical_formula_sum 'Na1 Sr2 Cr1 Cl1'
_space_group_name_H-M_alt 'P 4/m m m'
_space_group_IT_number 123
_space_group_name_Hall '-P 4 2'
_cell_length_a 5.8979
_cell_length_b 5.8979
_cell_length_c 5.1648
_cell_angle_alpha 90.00
_cell_angle_beta 90.00
_cell_angle_gamma 90.00
loop_
_atom_site_label
_atom_site_fract_x
_atom_site_fract_y
_atom_site_fract_z
Na1 0.0000 0.0000 0.0000
Sr1 0.0000 0.5000 0.5000
Cr1 0.5000 0.5000 0.0000
Cl1 0.0000 0.0000 0.5000
```


Below is a relaxed structure of Pu2CuNi4Ge3, with properties calculated at the PBE level.

Summary:
E_form in eV per atom: -0.41
Calculated density in Mg/m³: 10.38
V in Å³/cell: 160.64
Spin magnetization in Bohr magnetons per cell: 10.54

Cell and atoms, written as CIF:
```
data_Pu2CuNi4Ge3
_chemical_formula_sum 'Pu2 Cu1 Ni4 Ge3'
_space_group_name_H-M_alt 'P -4 m 2'
_space_group_IT_number 115
_space_group_name_Hall 'P -4 -2'
_cell_length_a 4.0154
_cell_length_b 4.0154
_cell_length_c 9.9631
_cell_angle_alpha 90.00
_cell_angle_beta 90.00
_cell_angle_gamma 90.00
loop_
_atom_site_label
_atom_site_fract_x
_atom_site_fract_y
_atom_site_fract_z
Pu1 0.0000 0.5000 0.2453
Cu1 0.5000 0.5000 0.0000
Ni1 0.0000 0.0000 0.5000
Ni2 0.0000 0.5000 0.8655
Ni3 0.5000 0.5000 0.5000
Ge1 0.0000 0.0000 0.0000
Ge2 0.0000 0.5000 0.6298
```


Below is a relaxed structure of Ac4ErTl2, with properties calculated at the PBE level.

Summary:
E_form in eV per atom: -0.08
Calculated density in Mg/m³: 9.06
V in Å³/cell: 543.69
Spin magnetization in Bohr magnetons per cell: 0.00

Cell and atoms, written as CIF:
```
data_Ac4ErTl2
_chemical_formula_sum 'Ac8 Er2 Tl4'
_space_group_name_H-M_alt 'P 1'
_space_group_IT_number 1
_space_group_name_Hall 'P 1'
_cell_length_a 7.2372
_cell_length_b 8.4793
_cell_length_c 10.4956
_cell_angle_alpha 74.29
_cell_angle_beta 70.79
_cell_angle_gamma 64.76
loop_
_atom_site_label
_atom_site_fract_x
_atom_site_fract_y
_atom_site_fract_z
Ac1 0.0000 0.0000 0.0000
Ac2 0.0012 0.9558 0.6147
Ac3 0.0136 0.4889 0.9039
Ac4 0.0208 0.4381 0.5159
Ac5 0.4334 0.4511 0.1228
Ac6 0.4831 0.9616 0.0526
Ac7 0.5266 0.4891 0.4714
Ac8 0.5861 0.9945 0.3973
Er1 0.3824 0.1245 0.7152
Er2 0.6357 0.3199 0.8052
Tl1 0.0020 0.2231 0.2595
Tl2 0.1504 0.7941 0.3155
Tl3 0.5103 0.7221 0.7602
Tl4 0.8631 0.6497 0.2038
```


Below is a relaxed structure of ErAlRh2, with properties calculated at the PBE level.

Summary:
E_form in eV per atom: -0.95
Calculated density in Mg/m³: 10.07
V in Å³/cell: 65.94
Spin magnetization in Bohr magnetons per cell: 0.00

Cell and atoms, written as CIF:
```
data_ErAlRh2
_chemical_formula_sum 'Er1 Al1 Rh2'
_space_group_name_H-M_alt 'P 4/m m m'
_space_group_IT_number 123
_space_group_name_Hall '-P 4 2'
_cell_length_a 4.4195
_cell_length_b 4.4195
_cell_length_c 3.3760
_cell_angle_alpha 90.00
_cell_angle_beta 90.00
_cell_angle_gamma 90.00
loop_
_atom_site_label
_atom_site_fract_x
_atom_site_fract_y
_atom_site_fract_z
Er1 0.0000 0.0000 0.0000
Al1 0.5000 0.5000 0.0000
Rh1 0.0000 0.5000 0.5000
```


Below is a relaxed structure of MgB2P, with properties calculated at the PBE level.

Summary:
E_form in eV per atom: -0.02
Calculated density in Mg/m³: 2.41
V in Å³/cell: 105.94
Spin magnetization in Bohr magnetons per cell: 0.00
Energy above the most stable polymorph in this dataset in eV/atom: 0.079

Cell and atoms, written as CIF:
```
data_MgB2P
_chemical_formula_sum 'Mg2 B4 P2'
_space_group_name_H-M_alt 'P 1'
_space_group_IT_number 1
_space_group_name_Hall 'P 1'
_cell_length_a 4.4494
_cell_length_b 4.7115
_cell_length_c 5.7651
_cell_angle_alpha 107.22
_cell_angle_beta 107.41
_cell_angle_gamma 99.26
loop_
_atom_site_label
_atom_site_fract_x
_atom_site_fract_y
_atom_site_fract_z
Mg1 0.0000 0.0000 0.0000
Mg2 0.2877 0.5686 0.5925
B1 0.1431 0.0124 0.5077
B2 0.5550 0.0543 0.5843
B3 0.7796 0.8065 0.4885
B4 0.8214 0.1375 0.4188
P1 0.5935 0.3644 0.2277
P2 0.7561 0.4339 0.9129
```


Below is a relaxed structure of Ho4Cd3In, with properties calculated at the PBE level.

Summary:
E_form in eV per atom: -0.30
Calculated density in Mg/m³: 8.69
V in Å³/cell: 212.53
Spin magnetization in Bohr magnetons per cell: 0.00
Energy above the most stable polymorph in this dataset in eV/atom: 0.056

Cell and atoms, written as CIF:
```
data_Ho4Cd3In
_chemical_formula_sum 'Ho4 Cd3 In1'
_space_group_name_H-M_alt 'P m m 2'
_space_group_IT_number 25
_space_group_name_Hall 'P 2 -2'
_cell_length_a 3.6415
_cell_length_b 4.8635
_cell_length_c 12.0000
_cell_angle_alpha 90.00
_cell_angle_beta 90.00
_cell_angle_gamma 90.00
loop_
_atom_site_label
_atom_site_fract_x
_atom_site_fract_y
_atom_site_fract_z
Ho1 0.0000 0.0000 0.0000
Ho2 0.0000 0.5000 0.3189
Ho3 0.5000 0.0000 0.4965
Ho4 0.5000 0.5000 0.8208
Cd1 0.0000 0.5000 0.5835
Cd2 0.5000 0.0000 0.2320
Cd3 0.5000 0.5000 0.0854
In1 0.0000 0.0000 0.7336
```


Below is a relaxed structure of NaPrHoHg, with properties calculated at the PBE level.

Summary:
E_form in eV per atom: -0.06
Calculated density in Mg/m³: 7.74
V in Å³/cell: 454.62
Spin magnetization in Bohr magnetons per cell: 3.32

Cell and atoms, written as CIF:
```
data_NaPrHoHg
_chemical_formula_sum 'Na4 Pr4 Ho4 Hg4'
_space_group_name_H-M_alt 'F -4 3 m'
_space_group_IT_number 216
_space_group_name_Hall 'F -4 2 3'
_cell_length_a 7.6892
_cell_length_b 7.6892
_cell_length_c 7.6892
_cell_angle_alpha 90.00
_cell_angle_beta 90.00
_cell_angle_gamma 90.00
loop_
_atom_site_label
_atom_site_fract_x
_atom_site_fract_y
_atom_site_fract_z
Na1 0.0000 0.0000 0.0000
Pr1 0.2500 0.2500 0.7500
Ho1 0.2500 0.2500 0.2500
Hg1 0.0000 0.0000 0.5000
```


Below is a relaxed structure of YCd2Re, with properties calculated at the PBE level.

Summary:
E_form in eV per atom: 0.37
Calculated density in Mg/m³: 9.93
V in Å³/cell: 167.19
Spin magnetization in Bohr magnetons per cell: 1.70
Energy above the most stable polymorph in this dataset in eV/atom: 0.133

Cell and atoms, written as CIF:
```
data_YCd2Re
_chemical_formula_sum 'Y2 Cd4 Re2'
_space_group_name_H-M_alt 'I -4 m 2'
_space_group_IT_number 119
_space_group_name_Hall 'I -4 -2'
_cell_length_a 4.3357
_cell_length_b 4.3357
_cell_length_c 8.8943
_cell_angle_alpha 90.00
_cell_angle_beta 90.00
_cell_angle_gamma 90.00
loop_
_atom_site_label
_atom_site_fract_x
_atom_site_fract_y
_atom_site_fract_z
Y1 0.0000 0.0000 0.0000
Cd1 0.0000 0.0000 0.5000
Cd2 0.0000 0.5000 0.7500
Re1 0.0000 0.5000 0.2500
```


Below is a relaxed structure of ZnInAsSe, with properties calculated at the PBE level.

Summary:
Calculated density in Mg/m³: 5.18
V in Å³/cell: 321.42
Spin magnetization in Bohr magnetons per cell: 0.00
Formation energy (no corrections) in eV per atom: -0.43

Cell and atoms, written as CIF:
```
data_ZnInAsSe
_chemical_formula_sum 'Zn3 In3 As3 Se3'
_space_group_name_H-M_alt 'R 3 m'
_space_group_IT_number 160
_space_group_name_Hall 'R 3 -2"'
_cell_length_a 4.2422
_cell_length_b 4.2422
_cell_length_c 20.6228
_cell_angle_alpha 90.00
_cell_angle_beta 90.00
_cell_angle_gamma 120.00
loop_
_atom_site_label
_atom_site_fract_x
_atom_site_fract_y
_atom_site_fract_z
Zn1 0.0000 0.0000 0.0000
In1 0.0000 0.0000 0.5029
As1 0.0000 0.0000 0.8806
Se1 0.0000 0.0000 0.3723
```


no.,calculated total energy (eV per cell)
1,-74.64
2,-23.97
3,-43.45
4,-17.09
5,-73.80
6,-52.58
7,-26.81
8,-40.88
9,-26.22
10,-44.81
11,-38.50
12,-41.65